# 1
A relaxed structure of YTh3Te4, computed with PBE.

For the size of the total moment, the calculation gives 0.0 μB per formula unit. The calculation puts the distance to the lowest polymorph of the same formula at 0.007 eV per atom. The calculation puts the mass density at 8670 kg/m³.

It has space group Cmmm (No. 65), with a = 9.010 Å, b = 12.556 Å, c = 4.386 Å, α = 90.00°, β = 90.00° and γ = 90.00°. The asymmetric unit holds Y at (0.000, 0.000, 0.000), Th at (0.000, 0.500, 0.000), Th at (0.250, 0.250, 0.500), Te at (0.000, 0.245, 0.000) and Te at (0.241, 0.000, 0.500).

=====

# 2
A relaxed structure of YThTe4, computed with PBE.

For the size of the total moment, the calculation gives 0.0 μB per formula unit. The calculation puts the mass density at 6284 kg/m³.

It has space group P2_1/c (No. 14), with a = 7.618 Å, b = 7.549 Å, c = 7.647 Å, α = 90.00°, β = 92.52° and γ = 90.00°. The asymmetric unit holds Y at (0.000, 0.000, 0.000), Th at (0.500, 0.000, 0.500), Te at (0.131, 0.132, 0.635) and Te at (0.353, 0.644, 0.644).

=====

# 3
A relaxed structure of YTh4Te8, computed with PBE.

For the size of the total moment, the calculation gives 0.0 μB per formula unit. The calculation puts the mass density at 6656 kg/m³.

It has space group F-43m (No. 216), with a = 12.670 Å, b = 12.670 Å, c = 12.670 Å, α = 90.00°, β = 90.00° and γ = 90.00°. The asymmetric unit holds Y at (0.000, 0.000, 0.000), Th at (0.110, 0.110, 0.610), Te at (0.135, 0.135, 0.365) and Te at (0.135, 0.135, 0.865).

=====

# 4
A relaxed structure of Y2Th2Te7, computed with PBE.

For the size of the total moment, the calculation gives 0.0 μB per formula unit. The calculation puts the distance to the lowest polymorph of the same formula at 0.000 eV per atom. The calculation puts the mass density at 7364 kg/m³.

It has space group Imm2 (No. 44), with a = 4.426 Å, b = 15.867 Å, c = 9.858 Å, α = 90.00°, β = 90.00° and γ = 90.00°. The asymmetric unit holds Y at (0.000, 0.000, 0.000), Y at (0.000, 0.500, 0.042), Th at (0.000, 0.264, 0.810), Te at (0.000, 0.141, 0.511), Te at (0.000, 0.180, 0.106), Te at (0.000, 0.390, 0.320) and Te at (0.000, 0.500, 0.731).

=====

# 5
A relaxed structure of YTh3Te4, computed with PBE.

For the size of the total moment, the calculation gives 0.0 μB per formula unit. The calculation puts the distance to the lowest polymorph of the same formula at 0.000 eV per atom. The calculation puts the mass density at 8655 kg/m³.

It has space group P4/mmm (No. 123), with a = 4.451 Å, b = 4.451 Å, c = 12.548 Å, α = 90.00°, β = 90.00° and γ = 90.00°. The asymmetric unit holds Y at (0.000, 0.000, 0.000), Th at (0.000, 0.000, 0.500), Th at (0.500, 0.500, 0.252), Te at (0.000, 0.000, 0.245), Te at (0.500, 0.500, 0.000) and Te at (0.500, 0.500, 0.500).

=====

# 6
A relaxed structure of Y2ThTe, computed with PBE.

For the size of the total moment, the calculation gives 0.0 μB per formula unit. The calculation puts the distance to the lowest polymorph of the same formula at 0.032 eV per atom. The calculation puts the mass density at 7140 kg/m³.

It has space group R-3m (No. 166, hexagonal axes), with a = 3.8206 Å, b = 3.8206 Å, c = 29.6628 Å, α = 90.00°, β = 90.00° and γ = 120.00°. The asymmetric unit holds Y at (0.0000, 0.0000, 0.2393), Th at (0.0000, 0.0000, 0.0000) and Te at (0.0000, 0.0000, 0.5000).

=====

| no. | formation energy without anion corrections (meV/atom) |
| --- | --- |
| 1 | -1077 |
| 2 | -962 |
| 3 | -1086 |
| 4 | -1271 |
| 5 | -1085 |
| 6 | -546 |